Here is Cr2InBiBr after structural relaxation from Alexandria. Energies are from GGA-PBEsol.

Properties
The value obtained for the formation energy from raw total energies is 921.5 meV/atom. Its density is 5.00 g cm⁻³. For the energy, the calculation gives -25.01 eV/cell. The space-group type is P4/mmm (123). The magnetization is 9.7 μB/cell. The density of states at the Fermi level comes out at 0.6690 states/eV/atom.

Cell lengths 5.308, 5.308, 5.990 Å; angles 90.00, 90.00, 90.00 degrees
Atoms (fractional coordinates):
Cr 0.000 0.500 0.000
Cr 0.500 0.000 0.000
Bi 0.000 0.000 0.000
Br 0.500 0.500 0.500
In 0.000 0.000 0.500